[1]
AcCeErGa: relaxed, PBE.

Results
spin magnetization	3.5	μB/cell
ΔE_f	64	meV per atom

POSCAR file:
```
AcCeErGa
1.0
7.729 0.000 0.000
0.000 7.729 0.000
0.000 0.000 7.729
Ac Ce Er Ga
4 4 4 4
direct
0.000 0.000 0.000
0.000 0.500 0.500
0.500 0.000 0.500
0.500 0.500 0.000
0.250 0.250 0.250
0.250 0.750 0.750
0.750 0.250 0.750
0.750 0.750 0.250
0.250 0.250 0.750
0.250 0.750 0.250
0.750 0.250 0.250
0.750 0.750 0.750
0.000 0.000 0.500
0.000 0.500 0.000
0.500 0.000 0.000
0.500 0.500 0.500
```

[2]
AcCeGdEr: relaxed, PBE.

Results
spin magnetization	26.6	μB/cell
ΔE_f	185	meV per atom

POSCAR file:
```
AcCeGdEr
1.0
8.250 0.000 0.000
0.000 8.250 0.000
0.000 0.000 8.250
Ac Ce Gd Er
4 4 4 4
direct
0.000 0.000 0.000
0.000 0.500 0.500
0.500 0.000 0.500
0.500 0.500 0.000
0.000 0.000 0.500
0.000 0.500 0.000
0.500 0.000 0.000
0.500 0.500 0.500
0.250 0.250 0.250
0.250 0.750 0.750
0.750 0.250 0.750
0.750 0.750 0.250
0.250 0.250 0.750
0.250 0.750 0.250
0.750 0.250 0.250
0.750 0.750 0.750
```

[3]
AcCeErIn: relaxed, PBE.

Results
spin magnetization	4.6	μB/cell
ΔE_f	-1	meV per atom

POSCAR file:
```
AcCeErIn
1.0
7.917 0.000 0.000
0.000 7.917 0.000
0.000 0.000 7.917
Ac Ce Er In
4 4 4 4
direct
0.000 0.000 0.000
0.000 0.500 0.500
0.500 0.000 0.500
0.500 0.500 0.000
0.250 0.250 0.750
0.250 0.750 0.250
0.750 0.250 0.250
0.750 0.750 0.750
0.250 0.250 0.250
0.250 0.750 0.750
0.750 0.250 0.750
0.750 0.750 0.250
0.000 0.000 0.500
0.000 0.500 0.000
0.500 0.000 0.000
0.500 0.500 0.500
```

[4]
AcCeEr2In4: relaxed, PBE.

Results
spin magnetization	1.0	μB/cell
ΔE_f	-387	meV per atom

POSCAR file:
```
AcCeEr2In4
1.0
2.733 1.578 8.951
-2.733 1.578 8.951
0.000 -3.156 8.951
Ac Ce Er In
1 1 2 4
direct
0.000 0.000 0.000
0.500 0.500 0.500
0.250 0.250 0.250
0.750 0.750 0.750
0.127 0.127 0.127
0.378 0.378 0.378
0.622 0.622 0.622
0.873 0.873 0.873
```

[5]
AcCeErLu: relaxed, PBE.

Results
spin magnetization	2.3	μB/cell
ΔE_f	164	meV per atom

POSCAR file:
```
AcCeErLu
1.0
8.170 0.000 0.000
0.000 8.170 0.000
0.000 0.000 8.170
Ac Ce Er Lu
4 4 4 4
direct
0.000 0.000 0.000
0.000 0.500 0.500
0.500 0.000 0.500
0.500 0.500 0.000
0.000 0.000 0.500
0.000 0.500 0.000
0.500 0.000 0.000
0.500 0.500 0.500
0.250 0.250 0.250
0.250 0.750 0.750
0.750 0.250 0.750
0.750 0.750 0.250
0.250 0.250 0.750
0.250 0.750 0.250
0.750 0.250 0.250
0.750 0.750 0.750
```

[6]
AcCeErMg: relaxed, PBE.

Results
spin magnetization	4.5	μB/cell
ΔE_f	128	meV per atom

POSCAR file:
```
AcCeErMg
1.0
8.069 0.000 0.000
0.000 8.069 0.000
0.000 0.000 8.069
Ac Ce Er Mg
4 4 4 4
direct
0.000 0.000 0.000
0.000 0.500 0.500
0.500 0.000 0.500
0.500 0.500 0.000
0.000 0.000 0.500
0.000 0.500 0.000
0.500 0.000 0.000
0.500 0.500 0.500
0.250 0.250 0.750
0.250 0.750 0.250
0.750 0.250 0.250
0.750 0.750 0.750
0.250 0.250 0.250
0.250 0.750 0.750
0.750 0.250 0.750
0.750 0.750 0.250
```

[7]
AcCeNdEr: relaxed, PBE.

Results
spin magnetization	12.2	μB/cell
ΔE_f	222	meV per atom

POSCAR file:
```
AcCeNdEr
1.0
8.305 0.000 0.000
0.000 8.305 0.000
0.000 0.000 8.305
Ac Ce Nd Er
4 4 4 4
direct
0.000 0.000 0.000
0.000 0.500 0.500
0.500 0.000 0.500
0.500 0.500 0.000
0.250 0.250 0.250
0.250 0.750 0.750
0.750 0.250 0.750
0.750 0.750 0.250
0.000 0.000 0.500
0.000 0.500 0.000
0.500 0.000 0.000
0.500 0.500 0.500
0.250 0.250 0.750
0.250 0.750 0.250
0.750 0.250 0.250
0.750 0.750 0.750
```

[8]
AcCeErPb: relaxed, PBE.

Results
spin magnetization	6.0	μB/cell
ΔE_f	-11	meV per atom

POSCAR file:
```
AcCeErPb
1.0
7.961 0.000 0.000
0.000 7.961 0.000
0.000 0.000 7.961
Ac Ce Er Pb
4 4 4 4
direct
0.000 0.000 0.000
0.000 0.500 0.500
0.500 0.000 0.500
0.500 0.500 0.000
0.250 0.250 0.750
0.250 0.750 0.250
0.750 0.250 0.250
0.750 0.750 0.750
0.250 0.250 0.250
0.250 0.750 0.750
0.750 0.250 0.750
0.750 0.750 0.250
0.000 0.000 0.500
0.000 0.500 0.000
0.500 0.000 0.000
0.500 0.500 0.500
```

[9]
AcCeErPu: relaxed, PBE.

Results
spin magnetization	34.3	μB/cell
ΔE_f	275	meV per atom

POSCAR file:
```
AcCeErPu
1.0
8.082 0.000 0.000
0.000 8.082 0.000
0.000 0.000 8.082
Ac Ce Er Pu
4 4 4 4
direct
0.000 0.000 0.000
0.000 0.500 0.500
0.500 0.000 0.500
0.500 0.500 0.000
0.250 0.250 0.250
0.250 0.750 0.750
0.750 0.250 0.750
0.750 0.750 0.250
0.250 0.250 0.750
0.250 0.750 0.250
0.750 0.250 0.250
0.750 0.750 0.750
0.000 0.000 0.500
0.000 0.500 0.000
0.500 0.000 0.000
0.500 0.500 0.500
```

[10]
AcCe2ErS4: relaxed, PBE.

Results
spin magnetization	1.7	μB/cell
formation energy (no corrections)	-1.973	eV/atom

POSCAR file:
```
AcCe2ErS4
1.0
7.037 0.000 0.000
0.000 4.042 0.000
-2.319 0.000 6.696
Ac Ce Er S
1 2 1 4
direct
0.000 0.000 0.000
0.500 0.000 0.500
0.500 0.500 0.000
0.000 0.500 0.500
0.243 0.000 0.731
0.255 0.500 0.269
0.745 0.500 0.731
0.757 0.000 0.269
```

[11]
Ac2CeErS6: relaxed, PBE.

Results
spin magnetization	1.0	μB/cell
formation energy (no corrections)	-2.066	eV/atom

POSCAR file:
```
Ac2CeErS6
1.0
3.662 2.114 6.261
-3.662 2.114 6.261
0.000 -4.229 6.261
Ac Ce Er S
2 1 1 6
direct
0.000 0.000 0.000
0.499 0.499 0.499
0.213 0.213 0.213
0.711 0.711 0.711
0.070 0.431 0.840
0.348 0.917 0.584
0.431 0.840 0.070
0.584 0.348 0.917
0.840 0.070 0.431
0.917 0.584 0.348
```

[12]
Ac2Ce3ErSb6: relaxed, PBE.

Results
spin magnetization	2.5	μB/cell
formation energy (no corrections)	-1.082	eV/atom

POSCAR file:
```
Ac2Ce3ErSb6
1.0
3.969 -6.876 0.000
3.969 6.876 0.000
-2.661 0.000 7.487
Ac Ce Er Sb
2 3 1 6
direct
0.165 0.835 0.000
0.835 0.165 0.000
0.000 0.000 0.500
0.329 0.671 0.500
0.671 0.329 0.500
0.500 0.500 0.000
0.096 0.415 0.743
0.270 0.270 0.262
0.415 0.096 0.743
0.585 0.904 0.257
0.730 0.730 0.738
0.904 0.585 0.257
```

[13]
AcCeEr2Sb4: relaxed, PBE.

Results
spin magnetization	0.8	μB/cell
formation energy (no corrections)	-1.089	eV/atom

POSCAR file:
```
AcCeEr2Sb4
1.0
7.789 0.000 0.000
0.000 4.514 0.000
-2.612 0.000 7.372
Ac Ce Er Sb
1 1 2 4
direct
0.000 0.000 0.000
0.000 0.500 0.500
0.500 0.000 0.500
0.500 0.500 0.000
0.265 0.000 0.747
0.270 0.500 0.265
0.730 0.500 0.735
0.735 0.000 0.253
```

[14]
Ac2Ce3ErSe6: relaxed, PBE.

Results
spin magnetization	3.1	μB/cell
formation energy (no corrections)	-1.788	eV/atom

POSCAR file:
```
Ac2Ce3ErSe6
1.0
3.698 -6.405 0.000
3.698 6.405 0.000
-2.480 0.000 6.983
Ac Ce Er Se
2 3 1 6
direct
0.165 0.835 0.000
0.835 0.165 0.000
0.000 0.000 0.500
0.326 0.674 0.500
0.674 0.326 0.500
0.500 0.500 0.000
0.101 0.417 0.748
0.272 0.272 0.260
0.417 0.101 0.748
0.583 0.899 0.252
0.728 0.728 0.740
0.899 0.583 0.252
```

[15]
Ac3CeEr3Se8: relaxed, PBE.

Results
spin magnetization	1.7	μB/cell
formation energy (no corrections)	-1.821	eV/atom

POSCAR file:
```
Ac3CeEr3Se8
1.0
4.184 2.416 7.101
-4.184 2.416 7.101
0.000 -4.831 7.101
Ac Ce Er Se
3 1 3 8
direct
0.000 0.500 0.500
0.500 0.000 0.500
0.500 0.500 0.000
0.500 0.500 0.500
0.000 0.000 0.500
0.000 0.500 0.000
0.500 0.000 0.000
0.227 0.752 0.752
0.240 0.240 0.240
0.248 0.248 0.773
0.248 0.773 0.248
0.752 0.227 0.752
0.752 0.752 0.227
0.760 0.760 0.760
0.773 0.248 0.248
```

[16]
AcCe2ErSe4: relaxed, PBE.

Results
spin magnetization	2.1	μB/cell
formation energy (no corrections)	-1.771	eV/atom

POSCAR file:
```
AcCe2ErSe4
1.0
7.350 0.000 0.000
0.000 4.204 0.000
-2.400 0.000 6.978
Ac Ce Er Se
1 2 1 4
direct
0.000 0.000 0.000
0.500 0.000 0.500
0.500 0.500 0.000
0.000 0.500 0.500
0.243 0.000 0.732
0.255 0.500 0.268
0.745 0.500 0.732
0.757 0.000 0.268
```

[17]
Ac3Ce3ErSe8: relaxed, PBE.

Results
spin magnetization	3.9	μB/cell
formation energy (no corrections)	-1.856	eV/atom

POSCAR file:
```
Ac3Ce3ErSe8
1.0
4.276 2.469 7.193
-4.276 2.469 7.193
0.000 -4.938 7.193
Ac Ce Er Se
3 3 1 8
direct
0.000 0.500 0.500
0.500 0.000 0.500
0.500 0.500 0.000
0.000 0.000 0.500
0.000 0.500 0.000
0.500 0.000 0.000
0.500 0.500 0.500
0.245 0.245 0.245
0.251 0.739 0.739
0.261 0.261 0.749
0.261 0.749 0.261
0.739 0.251 0.739
0.739 0.739 0.251
0.749 0.261 0.261
0.755 0.755 0.755
```

[18]
Ac2CeErSe4: relaxed, PBE.

Results
spin magnetization	1.0	μB/cell
formation energy (no corrections)	-1.797	eV/atom

POSCAR file:
```
Ac2CeErSe4
1.0
7.363 0.000 0.000
0.000 4.216 0.000
-2.412 0.000 7.221
Ac Ce Er Se
2 1 1 4
direct
0.000 0.000 0.000
0.500 0.500 0.000
0.000 0.500 0.500
0.500 0.000 0.500
0.250 0.000 0.726
0.267 0.500 0.279
0.733 0.500 0.721
0.750 0.000 0.274
```

[19]
AcCe2ErSe5: relaxed, PBE.

Results
spin magnetization	3.5	μB/cell
formation energy (no corrections)	-1.398	eV/atom

POSCAR file:
```
AcCe2ErSe5
1.0
5.111 0.000 0.000
0.000 5.111 0.000
0.000 0.000 11.342
Ac Ce Er Se
1 2 1 5
direct
0.000 0.000 0.000
0.500 0.500 0.329
0.500 0.500 0.671
0.000 0.000 0.500
0.000 0.000 0.256
0.000 0.000 0.744
0.000 0.500 0.500
0.500 0.000 0.500
0.500 0.500 0.000
```

[20]
AcCe3Er2Se6: relaxed, PBE.

Results
spin magnetization	3.1	μB/cell
formation energy (no corrections)	-1.770	eV/atom

POSCAR file:
```
AcCe3Er2Se6
1.0
3.628 -6.291 0.000
3.628 6.291 0.000
-2.438 0.000 6.881
Ac Ce Er Se
1 3 2 6
direct
0.000 0.000 0.000
0.158 0.842 0.500
0.500 0.500 0.500
0.842 0.158 0.500
0.332 0.668 0.000
0.668 0.332 0.000
0.083 0.435 0.247
0.274 0.274 0.762
0.435 0.083 0.247
0.565 0.917 0.753
0.726 0.726 0.238
0.917 0.565 0.753
```

[21]
Ac4CeEr3Se8: relaxed, PBE.

Results
spin magnetization	0.9	μB/cell
formation energy (no corrections)	-1.785	eV/atom

POSCAR file:
```
Ac4CeEr3Se8
1.0
4.183 2.415 7.284
-4.183 2.415 7.284
0.000 -4.830 7.284
Ac Ce Er Se
4 1 3 8
direct
0.000 0.000 0.000
0.000 0.500 0.500
0.500 0.000 0.500
0.500 0.500 0.000
0.500 0.500 0.500
0.000 0.000 0.500
0.000 0.500 0.000
0.500 0.000 0.000
0.233 0.744 0.744
0.239 0.239 0.239
0.256 0.256 0.767
0.256 0.767 0.256
0.744 0.233 0.744
0.744 0.744 0.233
0.761 0.761 0.761
0.767 0.256 0.256
```

[22]
Ac2CeErSe6: relaxed, PBE.

Results
spin magnetization	1.0	μB/cell
formation energy (no corrections)	-1.888	eV/atom

POSCAR file:
```
Ac2CeErSe6
1.0
3.814 2.202 6.587
-3.814 2.202 6.587
0.000 -4.404 6.587
Ac Ce Er Se
2 1 1 6
direct
0.000 0.000 0.000
0.499 0.499 0.499
0.290 0.290 0.290
0.792 0.792 0.792
0.067 0.430 0.665
0.157 0.917 0.581
0.430 0.665 0.067
0.581 0.157 0.917
0.665 0.067 0.430
0.917 0.581 0.157
```

[23]
AcCeSmEr: relaxed, PBE.

Results
spin magnetization	3.5	μB/cell
ΔE_f	200	meV per atom

POSCAR file:
```
AcCeSmEr
1.0
8.270 0.000 0.000
0.000 8.270 0.000
0.000 0.000 8.270
Ac Ce Sm Er
4 4 4 4
direct
0.000 0.000 0.000
0.000 0.500 0.500
0.500 0.000 0.500
0.500 0.500 0.000
0.000 0.000 0.500
0.000 0.500 0.000
0.500 0.000 0.000
0.500 0.500 0.500
0.250 0.250 0.750
0.250 0.750 0.250
0.750 0.250 0.250
0.750 0.750 0.750
0.250 0.250 0.250
0.250 0.750 0.750
0.750 0.250 0.750
0.750 0.750 0.250
```

[24]
AcCeErSn: relaxed, PBE.

Results
spin magnetization	5.5	μB/cell
ΔE_f	-117	meV per atom

POSCAR file:
```
AcCeErSn
1.0
7.870 0.000 0.000
0.000 7.870 0.000
0.000 0.000 7.870
Ac Ce Er Sn
4 4 4 4
direct
0.000 0.000 0.000
0.000 0.500 0.500
0.500 0.000 0.500
0.500 0.500 0.000
0.250 0.250 0.250
0.250 0.750 0.750
0.750 0.250 0.750
0.750 0.750 0.250
0.250 0.250 0.750
0.250 0.750 0.250
0.750 0.250 0.250
0.750 0.750 0.750
0.000 0.000 0.500
0.000 0.500 0.000
0.500 0.000 0.000
0.500 0.500 0.500
```

[25]
AcCe2ErTe5: relaxed, PBE.

Results
spin magnetization	3.5	μB/cell
formation energy (no corrections)	-0.934	eV/atom

POSCAR file:
```
AcCe2ErTe5
1.0
5.502 0.000 0.000
0.000 5.502 0.000
0.000 0.000 12.181
Ac Ce Er Te
1 2 1 5
direct
0.000 0.000 0.000
0.500 0.500 0.341
0.500 0.500 0.659
0.000 0.000 0.500
0.000 0.000 0.256
0.000 0.000 0.744
0.000 0.500 0.500
0.500 0.000 0.500
0.500 0.500 0.000
```